Entry 1:
! PBE Ce6Ge3Pb, relaxed; values from VASP
! Calculated formation energy: -0.5456 eV/atom
! Size of the total moment: 0.492 μB per atom
&SYSTEM
  ibrav = 0, nat = 20, ntyp = 3
/
ATOMIC_SPECIES
Ce 140.12 Ce.upf
Ge 72.64 Ge.upf
Pb 207.20 Pb.upf
CELL_PARAMETERS angstrom
8.138 0.000 0.000
0.000 8.120 1.071
0.000 -0.767 8.154
ATOMIC_POSITIONS angstrom
Ce 1.209 4.825 6.057
Ce 5.278 4.828 6.055
Ce 3.244 3.246 8.578
Ce 7.313 7.637 5.078
Ce 1.271 0.392 7.230
Ce 5.217 0.390 7.232
Ce 1.147 6.962 1.994
Ce 5.340 6.960 1.996
Ce 3.244 -0.285 4.147
Ce 7.313 4.106 0.648
Ce 1.209 2.525 3.171
Ce 5.278 2.527 3.169
Ge 3.243 6.188 7.810
Ge 7.312 6.233 7.775
Ge 3.244 2.323 5.691
Ge 7.313 5.029 3.535
Ge 7.312 1.164 1.415
Ge 3.243 1.120 1.450
Pb 7.311 2.279 5.726
Pb 3.241 5.073 3.499

***

Entry 2:
! PBE Ce6Ge2Pb, relaxed; values from VASP
! Calculated formation energy: -0.4447 eV/atom
! Size of the total moment: 0.671 μB per atom
! ΔE to the lowest computed polymorph: 0.0 kJ/mol of atoms
&SYSTEM
  ibrav = 0, nat = 9, ntyp = 3
/
ATOMIC_SPECIES
Ce 140.12 Ce.upf
Ge 72.64 Ge.upf
Pb 207.20 Pb.upf
CELL_PARAMETERS angstrom
4.118 0.000 0.000
0.000 8.259 0.000
0.000 -4.129 7.154
ATOMIC_POSITIONS angstrom
Ce 2.059 4.576 0.000
Ce 2.059 1.842 3.190
Ce 2.059 -2.288 3.963
Ce 0.000 2.418 0.000
Ce 0.000 2.920 5.058
Ce 0.000 -1.209 2.096
Ge 0.000 0.000 4.770
Ge 0.000 4.130 2.384
Pb 2.059 8.258 0.000

***

Entry 3:
! PBE Ce4GePb, relaxed; values from VASP
! Calculated formation energy: -0.3795 eV/atom
! Size of the total moment: 0.420 μB per atom
! ΔE to the lowest computed polymorph: 0.0 kJ/mol of atoms
&SYSTEM
  ibrav = 0, nat = 12, ntyp = 3
/
ATOMIC_SPECIES
Ce 140.12 Ce.upf
Ge 72.64 Ge.upf
Pb 207.20 Pb.upf
CELL_PARAMETERS angstrom
6.031 -0.620 0.000
-2.219 7.951 0.000
-1.906 -3.665 7.041
ATOMIC_POSITIONS angstrom
Ce -1.646 -1.262 5.827
Ce 2.113 3.063 4.428
Ce -1.369 1.573 5.827
Ce -1.316 4.577 4.428
Ce 3.222 -0.912 2.613
Ce 3.275 2.093 1.214
Ce -0.207 0.602 2.613
Ce 3.552 4.928 1.214
Ge 1.508 -0.155 0.125
Ge 0.398 3.820 6.916
Pb 0.398 3.820 1.740
Pb 1.508 -0.155 5.300

***

Entry 4:
! PBE Ce7GePb5, relaxed; values from VASP
! Calculated formation energy: -0.2004 eV/atom
! Size of the total moment: 0.042 μB per atom
&SYSTEM
  ibrav = 0, nat = 13, ntyp = 3
/
ATOMIC_SPECIES
Ce 140.12 Ce.upf
Ge 72.64 Ge.upf
Pb 207.20 Pb.upf
CELL_PARAMETERS angstrom
-4.861 -4.250 0.344
0.543 -4.978 6.941
-6.887 3.274 3.885
ATOMIC_POSITIONS angstrom
Ce -5.385 -3.350 4.048
Ce -6.016 -2.267 8.506
Ce -4.436 0.545 4.801
Ce -1.883 -2.291 5.851
Ce -2.684 -1.691 1.960
Ce -3.020 -5.860 6.464
Ce -8.136 -0.178 4.361
Ge -4.942 -4.112 0.913
Pb -5.789 -0.579 2.050
Pb -3.369 1.536 1.878
Pb -2.207 -4.558 3.523
Pb 0.213 -2.442 3.351
Pb -8.371 -4.522 8.146

***

Entry 5:
! PBE Ce4GePb, relaxed; values from VASP
! Calculated formation energy: -0.2255 eV/atom
! Size of the total moment: 0.259 μB per atom
! ΔE to the lowest computed polymorph: 14.9 kJ/mol of atoms
&SYSTEM
  ibrav = 0, nat = 6, ntyp = 3
/
ATOMIC_SPECIES
Ce 140.12 Ce.upf
Ge 72.64 Ge.upf
Pb 207.20 Pb.upf
CELL_PARAMETERS angstrom
4.778 0.024 1.785
2.577 5.554 0.434
0.561 -1.503 5.925
ATOMIC_POSITIONS angstrom
Ce 5.682 1.817 7.069
Ce 6.380 4.259 5.170
Ce 2.234 2.258 1.075
Ce 1.536 -0.184 2.975
Ge 3.958 2.038 4.072
Pb 4.778 0.024 1.785

***

Entry 6:
! PBE Ce12Ge6Pb, relaxed; values from VASP
! Calculated formation energy: -0.4744 eV/atom
! Size of the total moment: 0.417 μB per atom
&SYSTEM
  ibrav = 0, nat = 19, ntyp = 3
/
ATOMIC_SPECIES
Ce 140.12 Ce.upf
Ge 72.64 Ge.upf
Pb 207.20 Pb.upf
CELL_PARAMETERS angstrom
-4.026 -3.722 6.658
1.569 -5.793 -6.195
7.345 3.697 2.602
ATOMIC_POSITIONS angstrom
Ce 1.474 -4.997 2.653
Ce 4.102 -4.166 0.039
Ce 4.125 -2.379 3.391
Ce 3.415 -0.820 0.413
Ce 0.787 -1.651 3.027
Ce 0.764 -3.438 -0.325
Ce -0.369 -6.884 1.659
Ce 1.183 -4.605 -2.856
Ce -1.238 -2.652 4.712
Ce 5.258 1.066 1.407
Ce 3.706 -1.212 5.922
Ce 6.127 -3.165 -1.646
Ge 2.013 -6.250 -0.199
Ge -1.231 -3.773 1.836
Ge 3.064 -2.263 -2.148
Ge 2.877 0.433 3.265
Ge 6.121 -2.045 1.230
Ge 1.826 -3.555 5.214
Pb 0.000 0.000 0.000

***

Entry 7:
! PBE Ce8Ge2Pb3, relaxed; values from VASP
! Calculated formation energy: -0.2557 eV/atom
! Size of the total moment: 0.580 μB per atom
&SYSTEM
  ibrav = 0, nat = 13, ntyp = 3
/
ATOMIC_SPECIES
Ce 140.12 Ce.upf
Ge 72.64 Ge.upf
Pb 207.20 Pb.upf
CELL_PARAMETERS angstrom
-4.748 -0.887 2.424
-3.807 -4.377 -9.061
4.101 -3.931 6.563
ATOMIC_POSITIONS angstrom
Ce -5.971 -4.954 -1.486
Ce 1.517 -4.240 1.411
Ce 0.616 -1.724 0.574
Ce -5.070 -7.470 -0.649
Ce -1.748 -5.858 0.422
Ce 0.125 -3.705 4.879
Ce -4.579 -5.489 -4.954
Ce -2.706 -3.336 -0.497
Ge -1.277 -3.516 2.235
Ge -3.178 -5.679 -2.309
Pb -2.374 -0.443 1.212
Pb -1.020 -1.173 -2.427
Pb -2.787 -3.204 -6.634

***

Entry 8:
! PBE CeGePb, relaxed; values from VASP
! Calculated formation energy: -0.4613 eV/atom
! Size of the total moment: 0.238 μB per atom
&SYSTEM
  ibrav = 0, nat = 6, ntyp = 3
/
ATOMIC_SPECIES
Ce 140.12 Ce.upf
Ge 72.64 Ge.upf
Pb 207.20 Pb.upf
CELL_PARAMETERS angstrom
4.106 0.000 0.000
0.000 4.392 -1.144
0.000 -0.043 8.841
ATOMIC_POSITIONS angstrom
Ce 1.027 0.392 1.505
Ce 3.080 3.957 6.192
Ge 1.027 1.938 7.441
Ge 3.080 2.412 0.257
Pb 1.027 3.202 3.293
Pb 3.080 1.147 4.405

***

Entry 9:
! PBE CeGe2Pb, relaxed; values from VASP
! Calculated formation energy: -0.4072 eV/atom
! Size of the total moment: 0.000 μB per atom
&SYSTEM
  ibrav = 0, nat = 4, ntyp = 3
/
ATOMIC_SPECIES
Pb 207.20 Pb.upf
Ge 72.64 Ge.upf
Ce 140.12 Ce.upf
CELL_PARAMETERS angstrom
-0.982 4.117 0.692
-1.659 -1.102 4.201
4.211 0.695 1.845
ATOMIC_POSITIONS angstrom
Pb -0.491 2.059 0.346
Ge 2.105 0.347 0.923
Ge -0.830 -0.551 2.101
Ce 0.784 1.855 3.369

***

Entry 10:
! PBE Ce4GePb2, relaxed; values from VASP
! Calculated formation energy: -0.3407 eV/atom
! Size of the total moment: 0.601 μB per atom
&SYSTEM
  ibrav = 0, nat = 7, ntyp = 3
/
ATOMIC_SPECIES
Pb 207.20 Pb.upf
Ge 72.64 Ge.upf
Ce 140.12 Ce.upf
CELL_PARAMETERS angstrom
5.558 0.000 0.000
0.000 5.982 -2.527
0.000 0.071 6.493
ATOMIC_POSITIONS angstrom
Pb 2.779 5.158 0.617
Pb 2.779 2.624 4.483
Ge 0.000 0.865 0.567
Ce 2.779 1.992 1.306
Ce 0.000 3.856 -0.697
Ce 2.779 5.791 3.795
Ce 0.000 0.899 3.814

***

Entry 11:
! PBE Ce6Ge2Pb, relaxed; values from VASP
! Calculated formation energy: -0.3924 eV/atom
! Size of the total moment: 0.764 μB per atom
! ΔE to the lowest computed polymorph: 5.0 kJ/mol of atoms
&SYSTEM
  ibrav = 0, nat = 18, ntyp = 3
/
ATOMIC_SPECIES
Ce 140.12 Ce.upf
Ge 72.64 Ge.upf
Pb 207.20 Pb.upf
CELL_PARAMETERS angstrom
-0.178 2.477 -8.310
7.888 -2.108 2.924
-4.596 -7.265 1.147
ATOMIC_POSITIONS angstrom
Ce 1.202 -0.872 -2.979
Ce 1.912 -6.024 -1.259
Ce 4.562 -0.711 -5.326
Ce -1.448 -6.185 1.087
Ce 1.452 -8.083 1.525
Ce 1.662 1.188 -5.764
Ce 3.326 -3.549 -3.706
Ce -0.211 -3.347 -0.532
Ce 4.426 -6.328 1.280
Ce -1.311 -0.567 -5.519
Ce -0.085 -4.059 -4.003
Ce 3.199 -2.837 -0.236
Ge -1.131 -5.970 -2.028
Ge 4.245 -0.925 -2.211
Ge -1.766 -1.772 -2.650
Ge -3.008 -3.017 -4.513
Pb 1.646 -4.686 2.035
Pb 0.000 0.000 0.000

***

Entry 12:
! PBE Ce2Ge2Pb, relaxed; values from VASP
! Calculated formation energy: -0.6098 eV/atom
! Size of the total moment: 0.305 μB per atom
&SYSTEM
  ibrav = 0, nat = 10, ntyp = 3
/
ATOMIC_SPECIES
Ce 140.12 Ce.upf
Ge 72.64 Ge.upf
Pb 207.20 Pb.upf
CELL_PARAMETERS angstrom
4.330 0.000 0.000
0.000 7.664 0.000
0.000 0.000 7.664
ATOMIC_POSITIONS angstrom
Ce 2.165 1.371 5.203
Ce 2.165 5.203 6.293
Ce 2.165 6.293 2.461
Ce 2.165 2.461 1.371
Ge 0.000 2.935 6.767
Ge 0.000 6.767 4.728
Ge 0.000 4.728 0.897
Ge 0.000 0.897 2.935
Pb 0.000 0.000 0.000
Pb 0.000 3.832 3.832

***

Among the records above, which one has the lowest calculated formation energy? Ce2Ge2Pb